No. 1
A plane-wave DFT calculation with PBEsol was carried out for a geometry-optimized Be2NiAu structure.

abc: 2.8036 2.8036 5.3909
angles: 90.00 90.00 90.00
Space group P4/mmm (No. 123)
Symmetry-distinct sites (fractional):
Be (0.0000, 0.0000, 0.2075)
Ni (0.5000, 0.5000, 0.0000)
Au (0.5000, 0.5000, 0.5000)

Computed properties:
Energy   -4.821 eV/atom

---

No. 2
A plane-wave DFT calculation with PBEsol was carried out for a geometry-optimized BeOs2Au structure.

abc: 2.7891 2.7891 6.7915
angles: 90.00 90.00 90.00
Space group P4mm (No. 99)
Symmetry-distinct sites (fractional):
Be (0.0000, 0.0000, 0.0000)
Os (0.0000, 0.0000, 0.4665)
Os (0.5000, 0.5000, 0.2186)
Au (0.5000, 0.5000, 0.7829)

Computed properties:
Energy   -8.048 eV/atom

---

No. 3
A plane-wave DFT calculation with PBEsol was carried out for a geometry-optimized BeOs2Au structure.

abc: 2.7936 4.5091 8.7166
angles: 90.00 90.00 90.00
Space group Cmmm (No. 65)
Symmetry-distinct sites (fractional):
Be (0.0000, 0.0000, 0.0000)
Os (0.0000, 0.5000, 0.2158)
Au (0.0000, 0.0000, 0.5000)

Computed properties:
Energy   -7.620 eV/atom

---

Question: Among the records above, which one has the highest energy?
Answer: Be2NiAu